{
  "formula": "TmGaCo2",
  "functional": "PBE-GGA",
  "state": "optimized geometry",
  "space_group": "P4/mmm, No. 123",
  "magnetic_moment_mub_per_fu": 0.0,
  "e_tot_ev_per_atom": -5.67,
  "lattice": [[4.1919, 0.0000, 0.0000], [0.0000, 4.1919, 0.0000], [0.0000, 0.0000, 3.3160]],
  "species": ["Tm", "Ga", "Co", "Co"],
  "fractional_positions": [[0.0000, 0.0000, 0.0000], [0.5000, 0.5000, 0.0000], [0.0000, 0.5000, 0.5000], [0.5000, 0.0000, 0.5000]]
}


{
  "formula": "GdMgIr2",
  "functional": "PBE-GGA",
  "state": "optimized geometry",
  "space_group": "P4/mmm, No. 123",
  "magnetic_moment_mub_per_fu": 7.1,
  "e_tot_ev_per_atom": -8.85,
  "lattice": [[3.3350, 0.0000, 0.0000], [0.0000, 3.3350, 0.0000], [0.0000, 0.0000, 6.4606]],
  "species": ["Gd", "Mg", "Ir", "Ir"],
  "fractional_positions": [[0.0000, 0.0000, 0.0000], [0.0000, 0.0000, 0.5000], [0.5000, 0.5000, 0.2739], [0.5000, 0.5000, 0.7261]]
}


{
  "formula": "Li2Ac3InPd6",
  "functional": "PBE-GGA",
  "state": "optimized geometry",
  "space_group": "P-3m1, No. 164",
  "magnetic_moment_mub_per_fu": 0.0,
  "e_tot_ev_per_atom": -4.81,
  "lattice": [[5.9954, 0.0000, 0.0000], [-2.9977, 5.1921, 0.0000], [0.0000, 0.0000, 8.8269]],
  "species": ["Li", "Li", "Ac", "Ac", "Ac", "In", "Pd", "Pd", "Pd", "Pd", "Pd", "Pd"],
  "fractional_positions": [[0.3333, 0.6667, 0.0189], [0.6667, 0.3333, 0.9811], [0.0000, 0.0000, 0.0000], [0.3333, 0.6667, 0.6146], [0.6667, 0.3333, 0.3854], [0.0000, 0.0000, 0.5000], [0.1776, 0.3551, 0.2680], [0.1776, 0.8224, 0.2680], [0.3551, 0.1776, 0.7320], [0.6449, 0.8224, 0.2680], [0.8224, 0.1776, 0.7320], [0.8224, 0.6449, 0.7320]]
}


{
  "formula": "Ho2TeAs",
  "functional": "PBE-GGA",
  "state": "optimized geometry",
  "space_group": "R3m, No. 160",
  "magnetic_moment_mub_per_fu": 0.0,
  "e_above_lowest_polymorph_ev_per_atom": 0.031,
  "e_tot_ev_per_atom": -5.68,
  "lattice": [[4.1241, 0.0000, 0.0000], [-2.0621, 3.5716, 0.0000], [0.0000, 0.0000, 21.8109]],
  "species": ["Ho", "Ho", "Ho", "Ho", "Ho", "Ho", "Te", "Te", "Te", "As", "As", "As"],
  "fractional_positions": [[0.0000, 0.0000, 0.0000], [0.0000, 0.0000, 0.1896], [0.3333, 0.6667, 0.6667], [0.3333, 0.6667, 0.8563], [0.6667, 0.3333, 0.3333], [0.6667, 0.3333, 0.5229], [0.0000, 0.0000, 0.4275], [0.3333, 0.6667, 0.0942], [0.6667, 0.3333, 0.7609], [0.0000, 0.0000, 0.5969], [0.3333, 0.6667, 0.2636], [0.6667, 0.3333, 0.9303]]
}


{
  "formula": "Nb2CoHPt",
  "functional": "PBE-GGA",
  "state": "optimized geometry",
  "space_group": "P4/mmm, No. 123",
  "magnetic_moment_mub_per_fu": 0.1,
  "e_above_lowest_polymorph_ev_per_atom": 0.000,
  "e_tot_ev_per_atom": -7.65,
  "lattice": [[4.0295, 0.0000, 0.0000], [0.0000, 4.0295, 0.0000], [0.0000, 0.0000, 3.9263]],
  "species": ["Nb", "Nb", "Co", "H", "Pt"],
  "fractional_positions": [[0.0000, 0.5000, 0.0000], [0.5000, 0.0000, 0.0000], [0.0000, 0.0000, 0.5000], [0.0000, 0.0000, 0.0000], [0.5000, 0.5000, 0.5000]]
}


{
  "formula": "Sm3Ge3Pt",
  "functional": "PBE-GGA",
  "state": "optimized geometry",
  "space_group": "C2/m, No. 12",
  "magnetic_moment_mub_per_fu": 0.0,
  "e_tot_ev_per_atom": -5.83,
  "lattice": [[5.4098, -2.1991, 0.0000], [5.4098, 2.1991, 0.0000], [-4.9449, 0.0000, 13.4133]],
  "species": ["Sm", "Sm", "Sm", "Sm", "Sm", "Sm", "Ge", "Ge", "Ge", "Ge", "Ge", "Ge", "Pt", "Pt"],
  "fractional_positions": [[0.0351, 0.0351, 0.3797], [0.1012, 0.1012, 0.9236], [0.2454, 0.2454, 0.2288], [0.7546, 0.7546, 0.7712], [0.8988, 0.8988, 0.0764], [0.9649, 0.9649, 0.6203], [0.3633, 0.3633, 0.4624], [0.3813, 0.3813, 0.9255], [0.4651, 0.4651, 0.7702], [0.5349, 0.5349, 0.2298], [0.6187, 0.6187, 0.0745], [0.6367, 0.6367, 0.5376], [0.2481, 0.2481, 0.6122], [0.7519, 0.7519, 0.3878]]
}


{
  "formula": "BaTlAs2",
  "functional": "PBE-GGA",
  "state": "optimized geometry",
  "space_group": "P2/m, No. 10",
  "magnetic_moment_mub_per_fu": 0.0,
  "e_above_lowest_polymorph_ev_per_atom": 0.053,
  "e_tot_ev_per_atom": -3.85,
  "lattice": [[4.3741, 0.0000, 0.0000], [0.0000, 4.7685, 0.0000], [-0.0200, 0.0000, 6.6395]],
  "species": ["Ba", "Tl", "As", "As"],
  "fractional_positions": [[0.0000, 0.0000, 0.0000], [0.5000, 0.0000, 0.5000], [0.4988, 0.5000, 0.8191], [0.5012, 0.5000, 0.1809]]
}


{
  "formula": "Ag4Sn2Au3",
  "functional": "PBE-GGA",
  "state": "optimized geometry",
  "space_group": "C2/m, No. 12",
  "magnetic_moment_mub_per_fu": 0.0,
  "e_above_lowest_polymorph_ev_per_atom": 0.028,
  "e_tot_ev_per_atom": -3.27,
  "lattice": [[6.7184, -2.0047, 0.0000], [6.7184, 2.0047, 0.0000], [-1.6292, 0.0000, 6.5823]],
  "species": ["Ag", "Ag", "Ag", "Ag", "Sn", "Sn", "Au", "Au", "Au"],
  "fractional_positions": [[0.0639, 0.0639, 0.3393], [0.2728, 0.2728, 0.6593], [0.7272, 0.7272, 0.3407], [0.9361, 0.9361, 0.6607], [0.1527, 0.1527, 0.9765], [0.8473, 0.8473, 0.0235], [0.3959, 0.3959, 0.3493], [0.5000, 0.5000, 0.0000], [0.6041, 0.6041, 0.6507]]
}